(1)
Material: Be3GaRu
Method: DFT, PBE
State: relaxed

For the formation energy, the calculation gives 56 kJ/mol of atoms. Its density of states at the Fermi level is 1.72 states/eV/f.u.

a = 4.2038 Å, b = 4.2038 Å, c = 4.2038 Å
α = 90.00°, β = 90.00°, γ = 90.00°
Last column: nearest neighbours and their distance in Å.
Fractional coordinates of all 5 atoms:
Ga (0.5000, 0.5000, 0.5000)  12 Be 2.97
Ru (0.0000, 0.0000, 0.0000)  6 Be 2.10
Be (0.0000, 0.5000, 0.0000)  2 Ru 2.10
Be (0.5000, 0.0000, 0.0000)  2 Ru 2.10
Be (0.0000, 0.0000, 0.5000)  2 Ru 2.10


(2)
Material: SrOs2PbO8
Method: DFT, PBE
State: relaxed

The value obtained for the formation energy (no corrections) is -28.6 kcal/mol of atoms. Its density of states at the Fermi level is 0.46 states/eV/f.u.

a = 6.0353 Å, b = 6.0353 Å, c = 7.6155 Å
α = 90.00°, β = 90.00°, γ = 120.00°
Last column: nearest neighbours and their distance in Å.
Fractional coordinates of all 12 atoms:
Pb (0.0000, 0.0000, 0.5000)  6 O 2.53
O (0.1656, 0.3312, 0.7416)  1 Os 1.82
Sr (0.0000, 0.0000, 0.0000)  6 O 2.62
O (0.3333, 0.6667, 0.0413)  1 Os 1.79
Os (0.3333, 0.6667, 0.8065)  4 O 1.79-1.82
O (0.8343, 0.1656, 0.2584)  1 Os 1.82
O (0.1657, 0.8344, 0.7416)  1 Os 1.82
Os (0.6667, 0.3333, 0.1935)  4 O 1.79-1.82
O (0.6667, 0.3333, 0.9587)  1 Os 1.79
O (0.3312, 0.1657, 0.2584)  1 Os 1.82
O (0.8344, 0.6688, 0.2584)  1 Os 1.82
O (0.6688, 0.8343, 0.7416)  1 Os 1.82


(3)
Material: Hf3MnCr
Method: DFT, PBE
State: relaxed

For the formation energy, the calculation gives 75 kJ/mol of atoms. Its density of states at the Fermi level is 7.99 states/eV/f.u.

a = 4.7916 Å, b = 4.7916 Å, c = 4.7916 Å
α = 90.00°, β = 90.00°, γ = 90.00°
Last column: nearest neighbours and their distance in Å.
Fractional coordinates of all 5 atoms:
Cr (0.0000, 0.0000, 0.0000)  6 Hf 2.40
Hf (0.5000, 0.0000, 0.0000)  2 Cr 2.40
Hf (0.0000, 0.5000, 0.0000)  2 Cr 2.40
Hf (0.0000, 0.0000, 0.5000)  2 Cr 2.40
Mn (0.5000, 0.5000, 0.5000)  12 Hf 3.39


(4)
Material: Al3Co5H12
Method: DFT, PBE
State: relaxed

The value obtained for the final energy is -84.70 eV/f.u. Its density of states at the Fermi level is 4.61 states/eV/f.u.

a = 8.8408 Å, b = 8.8408 Å, c = 8.8408 Å
α = 109.47°, β = 109.47°, γ = 109.47°
Last column: nearest neighbours and their distance in Å.
Fractional coordinates of all 80 atoms:
Co (0.6250, 0.8750, 0.2500)  4 H 1.58
H (0.7936, 0.3266, 0.9127)  2 Co 1.58-1.64
Co (0.7500, 0.6250, 0.3750)  4 H 1.58
H (0.5331, 0.2064, 0.1192)  2 Co 1.58-1.64
H (0.7064, 0.5873, 0.1734)  2 Co 1.58-1.64
H (0.0861, 0.9127, 0.1192)  2 Co 1.58-1.64
H (0.1734, 0.0861, 0.9669)  2 Co 1.58-1.64
H (0.9127, 0.0861, 0.6192)  2 Co 1.58-1.64
H (0.9669, 0.3808, 0.2936)  2 Co 1.58-1.64
Co (0.1250, 0.3750, 0.2500)  4 H 1.58
Al (0.3750, 0.6250, 0.2500)  8 H 1.97-1.98
H (0.2936, 0.4127, 0.8266)  2 Co 1.58-1.64
H (0.8266, 0.9139, 0.0331)  2 Co 1.58-1.64
Al (0.2500, 0.6250, 0.8750)  8 H 1.97-1.98
H (0.0873, 0.9139, 0.3808)  2 Co 1.58-1.64
Al (0.1250, 0.2500, 0.8750)  8 H 1.97-1.98
H (0.1734, 0.0873, 0.7064)  2 Co 1.58-1.64
H (0.9139, 0.0873, 0.8808)  2 Co 1.58-1.64
Co (0.0000, 0.5000, 0.0000)  6 H 1.64
H (0.6192, 0.0331, 0.2064)  2 Co 1.58-1.64
H (0.3266, 0.5331, 0.4139)  2 Co 1.58-1.64
H (0.8808, 0.2936, 0.4669)  2 Co 1.58-1.64
H (0.5873, 0.8808, 0.4139)  2 Co 1.58-1.64
Co (0.5000, 0.5000, 0.0000)  6 H 1.64
Co (0.8750, 0.6250, 0.7500)  4 H 1.58
H (0.2064, 0.6734, 0.0873)  2 Co 1.58-1.64
H (0.6734, 0.4669, 0.5861)  2 Co 1.58-1.64
Co (0.2500, 0.8750, 0.1250)  4 H 1.58
H (0.3808, 0.4139, 0.0873)  2 Co 1.58-1.64
Co (0.3750, 0.1250, 0.7500)  4 H 1.58
Al (0.3750, 0.7500, 0.6250)  8 H 1.97-1.98
H (0.4669, 0.6734, 0.0861)  2 Co 1.58-1.64
H (0.8266, 0.9127, 0.2936)  2 Co 1.58-1.64
Al (0.2500, 0.1250, 0.3750)  8 H 1.97-1.98
Co (0.6250, 0.7500, 0.8750)  4 H 1.58
H (0.0331, 0.4139, 0.8266)  2 Co 1.58-1.64
H (0.4139, 0.0331, 0.3266)  2 Co 1.58-1.64
Al (0.6250, 0.2500, 0.3750)  8 H 1.97-1.98
Co (0.5000, 0.5000, 0.5000)  6 H 1.64
Al (0.8750, 0.1250, 0.2500)  8 H 1.97-1.98
H (0.2936, 0.8808, 0.9669)  2 Co 1.58-1.64
Co (0.7500, 0.1250, 0.8750)  4 H 1.58
H (0.1192, 0.7064, 0.5331)  2 Co 1.58-1.64
H (0.0873, 0.1734, 0.2064)  2 Co 1.58-1.64
H (0.5331, 0.3266, 0.9139)  2 Co 1.58-1.64
H (0.4139, 0.3808, 0.5873)  2 Co 1.58-1.64
Al (0.7500, 0.8750, 0.6250)  8 H 1.97-1.98
Co (0.0000, 0.0000, 0.0000)  6 H 1.64
Co (0.2500, 0.3750, 0.6250)  4 H 1.58
H (0.5861, 0.9669, 0.6734)  2 Co 1.58-1.64
H (0.4127, 0.1192, 0.5861)  2 Co 1.58-1.64
H (0.9139, 0.8266, 0.5331)  2 Co 1.58-1.64
H (0.2064, 0.5331, 0.6192)  2 Co 1.58-1.64
H (0.6192, 0.5861, 0.9127)  2 Co 1.58-1.64
H (0.7936, 0.4669, 0.3808)  2 Co 1.58-1.64
H (0.4669, 0.7936, 0.8808)  2 Co 1.58-1.64
Co (0.8750, 0.2500, 0.6250)  4 H 1.58
H (0.3266, 0.7936, 0.4127)  2 Co 1.58-1.64
Co (0.1250, 0.7500, 0.3750)  4 H 1.58
Co (0.5000, 0.0000, 0.5000)  6 H 1.64
H (0.9127, 0.8266, 0.7936)  2 Co 1.58-1.64
H (0.8808, 0.5873, 0.9139)  2 Co 1.58-1.64
Co (0.3750, 0.2500, 0.1250)  4 H 1.58
Al (0.1250, 0.8750, 0.7500)  8 H 1.97-1.98
H (0.7064, 0.1192, 0.0331)  2 Co 1.58-1.64
Co (0.0000, 0.0000, 0.5000)  6 H 1.64
H (0.3808, 0.9669, 0.7936)  2 Co 1.58-1.64
H (0.6734, 0.2064, 0.5873)  2 Co 1.58-1.64
Al (0.8750, 0.7500, 0.1250)  8 H 1.97-1.98
H (0.9669, 0.5861, 0.1734)  2 Co 1.58-1.64
H (0.4127, 0.2936, 0.3266)  2 Co 1.58-1.64
Al (0.7500, 0.3750, 0.1250)  8 H 1.97-1.98
H (0.5861, 0.6192, 0.4127)  2 Co 1.58-1.64
Al (0.6250, 0.3750, 0.7500)  8 H 1.97-1.98
H (0.0331, 0.6192, 0.7064)  2 Co 1.58-1.64
Co (0.5000, 0.0000, 0.0000)  6 H 1.64
H (0.1192, 0.4127, 0.0861)  2 Co 1.58-1.64
H (0.0861, 0.1734, 0.4669)  2 Co 1.58-1.64
Co (0.0000, 0.5000, 0.5000)  6 H 1.64
H (0.5873, 0.7064, 0.6734)  2 Co 1.58-1.64


(5)
Material: CaAlVNi
Method: DFT, PBE
State: relaxed

For the formation energy, the calculation gives 6 kJ/mol of atoms. Its density of states at the Fermi level is 3.25 states/eV/f.u.

a = 4.7349 Å, b = 2.8988 Å, c = 10.0308 Å
α = 90.00°, β = 90.00°, γ = 90.00°
Last column: nearest neighbours and their distance in Å.
Fractional coordinates of all 8 atoms:
V (0.0000, 0.0000, 0.8344)  2 Ni 2.54
Ni (0.5000, 0.0000, 0.5427)  2 V 2.54, 2 Al 2.55, 4 Ca 2.78
Al (0.5000, 0.5000, 0.7518)  2 Ni 2.55
Al (0.0000, 0.0000, 0.2518)  2 Ni 2.55
Ca (0.5000, 0.0000, 0.0390)  4 Ni 2.78, 2 Ca 2.90
Ca (0.0000, 0.5000, 0.5390)  4 Ni 2.78, 2 Ca 2.90
V (0.5000, 0.5000, 0.3344)  2 Ni 2.54
Ni (0.0000, 0.5000, 0.0427)  2 V 2.54, 2 Al 2.55, 4 Ca 2.78


(6)
Material: Be2Nb4H
Method: DFT, PBE
State: relaxed

The value obtained for the final energy is -50.66 eV/f.u. Its density of states at the Fermi level is 5.91 states/eV/f.u.

a = 3.7432 Å, b = 3.7432 Å, c = 7.4388 Å
α = 75.43°, β = 75.43°, γ = 90.00°
Last column: nearest neighbours and their distance in Å.
Fractional coordinates of all 7 atoms:
Nb (0.1840, 0.1840, 0.6320)  5 Be 2.52-2.73, 1 H 2.56
Be (0.6347, 0.6347, 0.7306)  9 Nb 2.52-2.73
H (0.0000, 0.0000, 0.0000)  4 Nb 1.87
Nb (0.0000, 0.5000, 0.0000)  2 H 1.87
Be (0.3653, 0.3653, 0.2694)  9 Nb 2.52-2.73
Nb (0.5000, 0.0000, 0.0000)  2 H 1.87
Nb (0.8160, 0.8160, 0.3680)  5 Be 2.52-2.73, 1 H 2.56


(7)
Material: Rb2AgPt2
Method: DFT, PBE
State: relaxed

For the formation energy, the calculation gives 81 kJ/mol of atoms. Its density of states at the Fermi level is 2.64 states/eV/f.u.

a = 4.8366 Å, b = 4.8366 Å, c = 7.4461 Å
α = 71.05°, β = 71.05°, γ = 90.00°
Last column: nearest neighbours and their distance in Å.
Fractional coordinates of all 5 atoms:
Rb (0.7500, 0.2500, 0.5000)  4 Pt 3.17, 4 Rb 3.42
Pt (0.5950, 0.5950, 0.8101)  1 Pt 2.51
Rb (0.2500, 0.7500, 0.5000)  4 Pt 3.17, 4 Rb 3.42
Pt (0.4050, 0.4050, 0.1899)  1 Pt 2.51
Ag (0.0000, 0.0000, 0.0000)  8 Pt 3.64


(8)
Material: MnCd
Method: DFT, PBE
State: relaxed

For the formation energy, the calculation gives 62 kJ/mol of atoms. Its density of states at the Fermi level is 1.74 states/eV/f.u.

a = 5.4247 Å, b = 5.4247 Å, c = 5.5486 Å
α = 90.00°, β = 90.00°, γ = 90.00°
Last column: nearest neighbours and their distance in Å.
Fractional coordinates of all 8 atoms:
Mn (0.1830, 0.1830, 0.5000)  6 Cd 2.77-2.83, 1 Mn 2.81
Mn (0.8170, 0.8170, 0.5000)  6 Cd 2.77-2.83, 1 Mn 2.81
Cd (0.1885, 0.1885, 0.0000)  6 Mn 2.77-2.83, 1 Cd 2.89
Mn (0.6830, 0.3170, 0.0000)  6 Cd 2.77-2.83, 1 Mn 2.81
Cd (0.3115, 0.6885, 0.5000)  6 Mn 2.77-2.83, 1 Cd 2.89
Cd (0.6885, 0.3115, 0.5000)  6 Mn 2.77-2.83, 1 Cd 2.89
Mn (0.3170, 0.6830, 0.0000)  6 Cd 2.77-2.83, 1 Mn 2.81
Cd (0.8115, 0.8115, 0.0000)  6 Mn 2.77-2.83, 1 Cd 2.89


(9)
Material: ZnFeRe
Method: DFT, PBE
State: relaxed

For the formation energy, the calculation gives 14 kJ/mol of atoms. Its density of states at the Fermi level is 1.74 states/eV/f.u.

a = 4.3330 Å, b = 2.7894 Å, c = 7.2020 Å
α = 90.00°, β = 107.51°, γ = 90.00°
Last column: nearest neighbours and their distance in Å.
Fractional coordinates of all 6 atoms:
Zn (0.4122, 0.7500, 0.8243)  4 Fe 2.59, 4 Zn 2.79, 2 Re 2.85
Zn (0.5878, 0.2500, 0.1757)  4 Fe 2.59, 4 Zn 2.79, 2 Re 2.85
Fe (0.0724, 0.7500, 0.1447)  2 Fe 2.43, 2 Re 2.50, 4 Zn 2.59
Re (0.7770, 0.7500, 0.5540)  2 Fe 2.50, 6 Re 2.68-2.79
Fe (0.9276, 0.2500, 0.8553)  2 Fe 2.43, 2 Re 2.50, 4 Zn 2.59
Re (0.2230, 0.2500, 0.4460)  2 Fe 2.50, 6 Re 2.68-2.79


(10)
Material: Ba2LiCa
Method: DFT, PBE
State: relaxed

For the formation energy, the calculation gives 4 kJ/mol of atoms. Its density of states at the Fermi level is 5.88 states/eV/f.u.

a = 4.3928 Å, b = 4.3332 Å, c = 10.9432 Å
α = 66.66°, β = 90.00°, γ = 90.00°
Last column: nearest neighbours and their distance in Å.
Fractional coordinates of all 4 atoms:
Ba (0.0000, 0.0351, 0.9650)  4 Li 3.77, 4 Ca 4.21
Ba (0.0000, 0.4649, 0.5350)  4 Li 3.77, 4 Ca 4.21
Li (0.5000, 0.7500, 0.7500)  8 Ba 3.77
Ca (0.5000, 0.2500, 0.2500)  8 Ba 4.21, 4 Ca 4.33-4.39


| no. | magnetization (μB/cell) |
| --- | --- |
| 1 | 0.00 |
| 2 | 4.02 |
| 3 | 3.59 |
| 4 | 0.00 |
| 5 | 3.59 |
| 6 | 0.00 |
| 7 | 0.00 |
| 8 | 15.69 |
| 9 | 4.14 |
| 10 | 0.00 |